(1)
! Li3GeO, optimized geometry, DFT PBE; values from VASP
&SYSTEM
  ibrav = 0, nat = 5, ntyp = 3
/
ATOMIC_SPECIES
Li 6.94 Li.upf
O 16.00 O.upf
Ge 72.64 Ge.upf
CELL_PARAMETERS angstrom
3.948 0.000 0.000
0.000 3.948 0.000
0.000 0.000 3.948
ATOMIC_POSITIONS angstrom
Li 0.000 0.000 1.974
O 0.000 0.000 0.000
Li 1.974 0.000 0.000
Ge 1.974 1.974 1.974
Li 0.000 1.974 0.000
! - raw formation energy (eV/atom) = -0.87
! - mass density (Mg/m³) = 2.953
! - total moment (μB/cell) = 0.0


(2)
! Li8GeO6, optimized geometry, DFT PBE; values from VASP
&SYSTEM
  ibrav = 0, nat = 30, ntyp = 3
/
ATOMIC_SPECIES
Li 6.94 Li.upf
O 16.00 O.upf
Ge 72.64 Ge.upf
CELL_PARAMETERS angstrom
-0.795 -2.689 -5.310
2.049 -4.998 2.224
-7.701 -2.158 2.246
ATOMIC_POSITIONS angstrom
Li -4.128 -1.774 -0.183
O -3.238 -4.310 0.970
Li -5.498 -7.788 -0.331
Li -4.080 -6.155 0.742
Li -7.545 -2.731 0.815
Li -0.440 -6.871 -2.832
O -4.806 -4.557 -2.068
Li -4.920 -4.108 -0.169
Li -4.616 -3.089 1.842
Li -1.408 -4.972 1.037
Li 0.350 -4.537 -2.846
Li -1.350 -2.902 -2.133
Li -3.777 -5.135 2.753
Li -3.067 -5.495 -1.850
Ge -6.767 -5.298 2.000
O -0.809 -2.076 -3.920
O -3.614 -3.478 -4.485
O -3.218 -2.136 -1.836
O -1.295 -4.999 -2.368
Li -2.273 -2.861 0.097
Li -0.140 -5.852 -0.820
Li -1.650 -3.919 -4.146
Ge -4.338 -3.066 -2.892
O 0.468 -4.631 0.579
O -0.532 -2.192 -0.506
O -6.043 -5.711 0.406
O -3.756 -7.115 -0.929
O -5.773 -2.234 0.298
O -5.646 -4.369 3.055
Li -6.682 -4.901 -1.616
! - raw formation energy (eV/atom) = -1.82
! - mass density (Mg/m³) = 2.555
! - total moment (μB/cell) = 0.1


(3)
! Li2GeO4, optimized geometry, DFT PBE; values from VASP
&SYSTEM
  ibrav = 0, nat = 7, ntyp = 3
/
ATOMIC_SPECIES
Ge 72.64 Ge.upf
O 16.00 O.upf
Li 6.94 Li.upf
CELL_PARAMETERS angstrom
3.805 0.000 0.000
0.000 3.805 0.000
1.903 1.903 5.123
ATOMIC_POSITIONS angstrom
Ge 0.000 0.000 0.000
O 1.903 1.903 3.294
O 3.805 3.805 1.829
Li 3.805 3.805 3.727
O 0.000 1.903 0.000
O 1.903 0.000 0.000
Li 1.903 1.903 1.396
! - raw formation energy (eV/atom) = -1.22
! - mass density (Mg/m³) = 3.369
! - total moment (μB/cell) = 2.0


(4)
! Li3GeO4, optimized geometry, DFT PBE; values from VASP
&SYSTEM
  ibrav = 0, nat = 32, ntyp = 3
/
ATOMIC_SPECIES
Li 6.94 Li.upf
Ge 72.64 Ge.upf
O 16.00 O.upf
CELL_PARAMETERS angstrom
5.111 0.000 0.000
0.000 6.408 0.000
0.000 0.000 11.116
ATOMIC_POSITIONS angstrom
Li 4.112 0.020 9.257
Ge 0.960 1.602 4.607
Li 1.557 3.224 7.417
O 1.041 1.602 0.739
O 3.597 4.806 4.819
Li 4.112 3.184 9.257
O 1.046 3.060 9.308
Li 3.566 1.602 6.447
O 1.509 0.144 3.751
Li 0.998 6.389 1.859
Li 1.545 4.806 4.669
Li 3.554 3.184 3.699
O 1.514 1.602 6.297
O 4.070 4.806 10.377
Li 0.998 3.224 1.859
O 1.046 0.144 9.308
O 4.298 1.602 4.614
Ge 1.595 1.602 10.165
Li 4.100 1.602 0.889
Ge 3.516 4.806 0.951
Li 3.554 0.020 3.699
Li 1.011 4.806 10.226
Ge 4.150 4.806 6.509
O 3.368 1.602 10.172
O 4.065 3.348 1.807
O 1.509 3.060 3.751
O 0.813 4.806 6.502
O 3.602 3.348 7.365
Li 1.557 6.389 7.417
O 1.743 4.806 0.944
O 3.602 6.264 7.365
O 4.065 6.264 1.807
! - raw formation energy (eV/atom) = -1.74
! - mass density (Mg/m³) = 2.873
! - total moment (μB/cell) = 4.1


(5)
! Li2GeOsO6, optimized geometry, DFT PBE; values from VASP
&SYSTEM
  ibrav = 0, nat = 10, ntyp = 4
/
ATOMIC_SPECIES
Os 190.23 Os.upf
O 16.00 O.upf
Li 6.94 Li.upf
Ge 72.64 Ge.upf
CELL_PARAMETERS angstrom
4.818 0.000 0.000
0.000 5.139 0.000
0.000 0.000 5.139
ATOMIC_POSITIONS angstrom
Os 2.918 2.569 2.569
O 1.087 0.000 0.000
O 3.510 3.858 3.858
O 3.510 1.281 1.281
Li 4.526 0.000 2.569
O 3.510 1.281 3.858
Ge 2.787 0.000 0.000
Li 4.526 2.569 0.000
O 3.510 3.858 1.281
O 1.175 2.569 2.569
! - raw formation energy (eV/atom) = -1.28
! - mass density (Mg/m³) = 4.865
! - total moment (μB/cell) = 1.4


(6)
! LiGeOsO6, optimized geometry, DFT PBE; values from VASP
&SYSTEM
  ibrav = 0, nat = 18, ntyp = 4
/
ATOMIC_SPECIES
O 16.00 O.upf
Ge 72.64 Ge.upf
Os 190.23 Os.upf
Li 6.94 Li.upf
CELL_PARAMETERS angstrom
4.580 0.000 0.000
0.000 4.580 0.000
0.000 0.000 8.899
ATOMIC_POSITIONS angstrom
O 3.146 3.146 0.020
O 1.324 1.324 6.030
O 3.623 0.957 7.315
O 3.246 3.246 2.866
O 3.614 0.965 1.581
O 3.255 3.255 6.030
O 1.433 1.433 0.020
Ge 0.000 0.000 2.948
Os 2.290 2.290 1.487
O 0.957 3.623 7.315
Li 0.000 0.000 8.878
Ge 2.290 2.290 7.397
O 3.723 0.856 4.469
O 1.333 1.333 2.866
Os 0.000 0.000 5.937
O 0.856 3.723 4.469
O 0.965 3.614 1.581
Li 2.290 2.290 4.428
! - raw formation energy (eV/atom) = -1.28
! - mass density (Mg/m³) = 6.510
! - total moment (μB/cell) = 2.0


(7)
! LiGeP2O, optimized geometry, DFT PBE; values from VASP
&SYSTEM
  ibrav = 0, nat = 5, ntyp = 4
/
ATOMIC_SPECIES
Li 6.94 Li.upf
P 30.97 P.upf
O 16.00 O.upf
Ge 72.64 Ge.upf
CELL_PARAMETERS angstrom
-3.988 2.252 2.046
-0.843 -4.059 2.824
2.059 1.339 2.540
ATOMIC_POSITIONS angstrom
Li -1.386 -0.234 3.705
P -0.422 -2.029 1.412
O 1.030 0.670 1.270
Ge 0.000 0.000 0.000
P -1.994 1.126 1.023
! - raw formation energy (eV/atom) = 0.17
! - mass density (Mg/m³) = 2.943
! - total moment (μB/cell) = 0.0


(8)
! LiGePO2, optimized geometry, DFT PBE; values from VASP
&SYSTEM
  ibrav = 0, nat = 5, ntyp = 4
/
ATOMIC_SPECIES
Ge 72.64 Ge.upf
P 30.97 P.upf
O 16.00 O.upf
Li 6.94 Li.upf
CELL_PARAMETERS angstrom
-2.879 -1.208 -1.905
0.263 -3.248 1.661
-2.859 1.493 3.373
ATOMIC_POSITIONS angstrom
Ge -2.737 -1.482 1.564
P -1.429 0.747 1.687
O 0.132 -1.624 0.831
Li 0.000 0.000 0.000
O -1.440 -0.604 -0.953
! - raw formation energy (eV/atom) = 0.19
! - mass density (Mg/m³) = 3.791
! - total moment (μB/cell) = 1.4


(9)
! LiGe2PO6, optimized geometry, DFT PBE; values from VASP
&SYSTEM
  ibrav = 0, nat = 20, ntyp = 4
/
ATOMIC_SPECIES
P 30.97 P.upf
O 16.00 O.upf
Li 6.94 Li.upf
Ge 72.64 Ge.upf
CELL_PARAMETERS angstrom
5.504 -0.103 -0.107
1.642 6.515 0.359
1.642 0.117 6.524
ATOMIC_POSITIONS angstrom
P 5.770 4.892 1.768
O 2.185 0.186 5.122
O 7.008 2.347 5.910
Li 3.018 5.781 1.014
O 5.043 4.069 4.825
Ge 3.954 5.343 4.262
O 4.532 0.658 4.158
O 1.780 4.182 0.865
Ge 6.706 4.009 5.444
O 6.603 6.343 1.653
O 3.745 2.459 1.950
O 6.497 1.806 2.477
Ge 4.835 1.186 2.514
O 2.291 4.723 4.299
Li 5.770 0.748 5.761
P 3.018 1.637 5.007
O 4.937 5.060 0.322
O 3.851 1.469 6.453
Ge 2.082 2.519 1.331
O 4.256 5.871 2.618
! - raw formation energy (eV/atom) = -1.64
! - mass density (Mg/m³) = 3.931
! - total moment (μB/cell) = 0.0


(10)
! LiGePO2, optimized geometry, DFT PBE; values from VASP
&SYSTEM
  ibrav = 0, nat = 5, ntyp = 4
/
ATOMIC_SPECIES
Ge 72.64 Ge.upf
P 30.97 P.upf
O 16.00 O.upf
Li 6.94 Li.upf
CELL_PARAMETERS angstrom
3.664 0.000 0.000
0.000 3.664 0.000
0.000 0.000 5.275
ATOMIC_POSITIONS angstrom
Ge 0.000 0.000 0.000
P 0.000 0.000 2.637
O 1.832 0.000 0.000
O 0.000 1.832 0.000
Li 1.832 1.832 2.637
! - raw formation energy (eV/atom) = -0.40
! - mass density (Mg/m³) = 3.342
! - total moment (μB/cell) = 0.2


(11)
! LiGeP2O, optimized geometry, DFT PBE; values from VASP
&SYSTEM
  ibrav = 0, nat = 5, ntyp = 4
/
ATOMIC_SPECIES
Li 6.94 Li.upf
Ge 72.64 Ge.upf
P 30.97 P.upf
O 16.00 O.upf
CELL_PARAMETERS angstrom
-0.518 -0.802 4.634
-1.704 -4.313 -0.937
3.039 -1.228 0.127
ATOMIC_POSITIONS angstrom
Li 0.000 0.000 0.000
Ge 0.409 -3.172 1.912
P -0.852 -2.157 -0.468
P -0.259 -0.401 2.317
O 1.520 -0.614 0.064
! - raw formation energy (eV/atom) = 0.45
! - mass density (Mg/m³) = 3.562
! - total moment (μB/cell) = 0.0


(12)
! LiGe2P3O12, optimized geometry, DFT PBE; values from VASP
&SYSTEM
  ibrav = 0, nat = 36, ntyp = 4
/
ATOMIC_SPECIES
O 16.00 O.upf
Li 6.94 Li.upf
Ge 72.64 Ge.upf
P 30.97 P.upf
CELL_PARAMETERS angstrom
8.436 -0.034 -0.024
4.293 7.262 -0.024
4.293 2.438 6.841
ATOMIC_POSITIONS angstrom
O 10.579 7.015 0.493
O 5.250 3.996 0.869
O 6.122 1.652 2.021
Li 0.000 0.000 0.000
O 6.445 2.650 6.300
Ge 14.622 8.302 5.835
Ge 10.913 6.196 4.354
O 5.578 7.342 1.795
P 8.474 3.420 0.233
P 11.498 3.095 3.654
O 9.164 2.037 0.359
O 8.251 7.685 1.348
O 10.664 4.397 3.776
O 7.783 3.774 1.576
O 7.553 5.101 6.773
O 6.196 7.331 4.288
O 6.359 5.269 3.016
P 9.744 7.575 1.674
O 9.795 6.574 2.857
O 4.555 3.396 3.465
O 11.445 2.323 4.998
Ge 6.111 3.470 2.438
O 10.901 8.014 4.772
O 7.229 3.092 3.935
Ge 2.401 1.363 0.958
P 7.279 2.091 5.119
Li 8.512 4.833 3.396
O 9.240 5.892 5.217
O 12.468 6.270 3.327
O 11.773 5.670 5.923
O 7.860 7.629 6.434
O 10.827 2.335 2.505
P 5.526 6.571 3.139
P 8.549 6.246 6.560
O 9.470 4.564 0.019
O 8.772 1.981 5.444
! - raw formation energy (eV/atom) = -2.01
! - mass density (Mg/m³) = 3.447
! - total moment (μB/cell) = 0.0